Compound: BaNiW
Source: the Alexandria database
Functional: GGA-PBE
Structure: optimized geometry

* final energy: -6.11 eV per atom
* DOS(E_F): 4.6 states/eV/f.u.
* ΔH_f (0 K): 0.779 eV per atom

Unit cell a=6.838 b=6.837 c=3.198 alpha=76.48 beta=76.47 gamma=27.05
Positions (direct):
1 Ni 0.293 0.293 0.707
2 W 0.710 0.710 0.290
3 Ba 0.997 0.997 0.003

Compound: LaCuBiSe3
Source: the Alexandria database
Functional: GGA-PBE
Structure: optimized geometry

* final energy: -4.75 eV per atom
* DOS(E_F): 1.7 states/eV/f.u.
* raw formation energy: -19.762 kcal/mol of atoms

Unit cell a=3.949 b=9.687 c=8.815 alpha=94.74 beta=90.00 gamma=90.00
Positions (direct):
1 Se 0.750 0.195 0.481
2 La 0.750 0.851 0.783
3 Se 0.250 0.085 0.855
4 Se 0.750 0.381 0.134
5 Cu 0.250 0.065 0.573
6 Se 0.250 0.805 0.519
7 Bi 0.250 0.654 0.173
8 Bi 0.750 0.346 0.827
9 Se 0.750 0.915 0.145
10 Cu 0.750 0.935 0.427
11 La 0.250 0.149 0.217
12 Se 0.250 0.619 0.866

What size of the total moment values result from the calculations? In sequence: 0.001, 0.000 μB per atom.